A plane-wave DFT calculation with PBE-GGA was carried out for a relaxed structure of MnCu3Ge.

a b c (Å): 4.525 4.525 4.525
angles (deg): 90.00 90.00 90.00
Space group Pm-3m (No. 221)
Inequivalent atoms, fractional coordinates:
Mn  0.000  0.000  0.000 (multiplicity 1)
Cu  0.000  0.000  0.500 (multiplicity 3)
Ge  0.500  0.500  0.500 (multiplicity 1)

Output
Its formation energy is 1.07 eV per atom.


A plane-wave DFT calculation with PBE-GGA was carried out for a relaxed structure of MnCu6Ge2.

a b c (Å): 6.082 11.726 3.562
angles (deg): 90.00 108.63 90.00
Space group C2/m (No. 12)
Inequivalent atoms, fractional coordinates:
Mn  0.000  0.000  0.000 (multiplicity 2)
Cu  0.159  0.500  0.329 (multiplicity 4)
Cu  0.164  0.344  0.828 (multiplicity 8)
Ge  0.000  0.158  0.500 (multiplicity 4)

Output
Its formation energy is 0.06 eV per atom.


A plane-wave DFT calculation with PBE-GGA was carried out for a relaxed structure of Mn2CuGe.

a b c (Å): 3.182 3.182 5.263
angles (deg): 90.00 90.00 90.00
Space group P4/mmm (No. 123)
Inequivalent atoms, fractional coordinates:
Mn  0.000  0.000  0.248 (multiplicity 2)
Cu  0.500  0.500  0.500 (multiplicity 1)
Ge  0.500  0.500  0.000 (multiplicity 1)

Output
Its formation energy is 0.11 eV per atom.


A plane-wave DFT calculation with PBE-GGA was carried out for a relaxed structure of MnCu6Ge2.

a b c (Å): 8.147 3.807 7.977
angles (deg): 90.00 90.55 90.00
Space group C2/m (No. 12)
Inequivalent atoms, fractional coordinates:
Mn  0.000  0.000  0.000 (multiplicity 2)
Cu  0.102  0.500  0.797 (multiplicity 4)
Cu  0.190  0.000  0.592 (multiplicity 4)
Cu  0.199  0.500  0.104 (multiplicity 4)
Ge  0.103  0.000  0.302 (multiplicity 4)

Output
Its formation energy is 0.06 eV per atom.


A plane-wave DFT calculation with PBE-GGA was carried out for a relaxed structure of Mn2Cu3Ge.

a b c (Å): 4.9191 4.9191 7.7810
angles (deg): 90.00 90.00 120.00
Space group P6_3/mmc (No. 194)
Inequivalent atoms, fractional coordinates:
Mn  0.3333  0.6667  0.0561 (multiplicity 4)
Cu  0.1720  0.3441  0.7500 (multiplicity 6)
Ge  0.0000  0.0000  0.0000 (multiplicity 2)

Output
Its formation energy is 0.08 eV per atom.


A plane-wave DFT calculation with PBE-GGA was carried out for a relaxed structure of Mn3CuGe.

a b c (Å): 4.575 4.575 4.575
angles (deg): 90.00 90.00 90.00
Space group Pm-3m (No. 221)
Inequivalent atoms, fractional coordinates:
Mn  0.000  0.000  0.500 (multiplicity 3)
Cu  0.500  0.500  0.500 (multiplicity 1)
Ge  0.000  0.000  0.000 (multiplicity 1)

Output
Its formation energy is 0.91 eV per atom.


A plane-wave DFT calculation with PBE-GGA was carried out for a relaxed structure of MnCu3Ge.

a b c (Å): 4.461 4.461 4.461
angles (deg): 90.00 90.00 90.00
Space group Pm-3m (No. 221)
Inequivalent atoms, fractional coordinates:
Mn  0.000  0.000  0.000 (multiplicity 1)
Cu  0.000  0.500  0.500 (multiplicity 3)
Ge  0.500  0.500  0.500 (multiplicity 1)

Output
Its formation energy is 0.68 eV per atom.


A plane-wave DFT calculation with PBE-GGA was carried out for a relaxed structure of MnCuGe3.

a b c (Å): 4.567 4.567 4.567
angles (deg): 90.00 90.00 90.00
Space group Pm-3m (No. 221)
Inequivalent atoms, fractional coordinates:
Mn  0.000  0.000  0.000 (multiplicity 1)
Cu  0.500  0.500  0.500 (multiplicity 1)
Ge  0.000  0.000  0.500 (multiplicity 3)

Output
Its formation energy is 0.37 eV per atom.


A plane-wave DFT calculation with PBE-GGA was carried out for a relaxed structure of MnCuGe2.

a b c (Å): 6.924 6.924 5.493
angles (deg): 90.00 90.00 90.00
Space group I-42d (No. 122)
Inequivalent atoms, fractional coordinates:
Mn  0.000  0.000  0.000 (multiplicity 4)
Cu  0.000  0.000  0.500 (multiplicity 4)
Ge  0.230  0.250  0.625 (multiplicity 8)

Output
Its formation energy is 0.32 eV per atom.


A plane-wave DFT calculation with PBE-GGA was carried out for a relaxed structure of Mn2CuGe4.

a b c (Å): 4.709 4.709 12.169
angles (deg): 90.00 90.00 90.00
Space group I4/mmm (No. 139)
Inequivalent atoms, fractional coordinates:
Mn  0.000  0.000  0.104 (multiplicity 4)
Cu  0.000  0.000  0.500 (multiplicity 2)
Ge  0.000  0.000  0.305 (multiplicity 4)
Ge  0.000  0.500  0.000 (multiplicity 4)

Output
Its formation energy is 0.49 eV per atom.


A plane-wave DFT calculation with PBE-GGA was carried out for a relaxed structure of Nd2Mn2CuGe3.

a b c (Å): 4.080 4.164 18.620
angles (deg): 90.00 90.00 90.00
Space group Amm2 (No. 38)
Inequivalent atoms, fractional coordinates:
Nd  0.000  0.000  0.000 (multiplicity 2)
Nd  0.500  0.000  0.203 (multiplicity 2)
Mn  0.000  0.000  0.347 (multiplicity 2)
Mn  0.500  0.000  0.848 (multiplicity 2)
Cu  0.000  0.000  0.770 (multiplicity 2)
Ge  0.000  0.000  0.641 (multiplicity 2)
Ge  0.500  0.000  0.424 (multiplicity 2)
Ge  0.500  0.000  0.563 (multiplicity 2)

Output
Its formation energy is -0.35 eV per atom.


A plane-wave DFT calculation with PBE-GGA was carried out for a relaxed structure of Nd2MnCu3Ge4.

a b c (Å): 4.216 4.216 10.224
angles (deg): 90.00 90.00 90.00
Space group P-4m2 (No. 115)
Inequivalent atoms, fractional coordinates:
Nd  0.000  0.500  0.246 (multiplicity 2)
Mn  0.000  0.000  0.500 (multiplicity 1)
Cu  0.000  0.500  0.871 (multiplicity 2)
Cu  0.500  0.500  0.500 (multiplicity 1)
Ge  0.000  0.000  0.000 (multiplicity 1)
Ge  0.000  0.500  0.634 (multiplicity 2)
Ge  0.500  0.500  0.000 (multiplicity 1)

Output
Its formation energy is -0.48 eV per atom.


Number 1: DOS(E_F) 3.2 states/eV per cell. Number 2: DOS(E_F) 7.4 states/eV per cell. Number 3: DOS(E_F) 3.6 states/eV per cell. Number 4: DOS(E_F) 5.0 states/eV per cell. Number 5: DOS(E_F) 7.4 states/eV per cell. Number 6: DOS(E_F) 5.9 states/eV per cell. Number 7: DOS(E_F) 2.1 states/eV per cell. Number 8: DOS(E_F) 0.3 states/eV per cell. Number 9: DOS(E_F) 8.9 states/eV per cell. Number 10: DOS(E_F) 7.2 states/eV per cell. Number 11: DOS(E_F) 11.8 states/eV per cell. Number 12: DOS(E_F) 3.2 states/eV per cell.